Material: Mn2TlCdF8
Method: DFT, GGA+U
State: optimized geometry

Output
Magnetic moment = 9.39 μB per formula unit
Calculated density = 5.1 g/cm³
Electronic total energy = -5.067 eV per atom

a b c (Å): 5.1848 6.9487 5.2173
angles (deg): 90.00 90.01 90.00
Space group P2/m (No. 10)
Inequivalent atoms, fractional coordinates:
Mn1 0.0000 0.2440 0.0000 [2 per cell]
Tl1 0.5000 0.5000 0.5000 [1 per cell]
Cd1 0.5000 0.0000 0.5000 [1 per cell]
F1 0.1773 0.5000 0.8290 [2 per cell]
F2 0.1896 0.0000 0.8163 [2 per cell]
F3 0.2824 0.2350 0.2888 [4 per cell]

---

Material: TmMnCdF6
Method: DFT, GGA+U
State: optimized geometry

Output
Magnetic moment = 4.35 μB per formula unit
Calculated density = 4.8 g/cm³
Electronic total energy = -5.609 eV per atom

a b c (Å): 5.8535 5.8535 10.4690
angles (deg): 90.00 90.00 120.00
Space group P-31c (No. 163)
Inequivalent atoms, fractional coordinates:
Tm1 0.3333 0.6667 0.2500 [2 per cell]
Mn1 0.3333 0.6667 0.7500 [2 per cell]
Cd1 0.0000 0.0000 0.0000 [2 per cell]
F1 0.9997 0.3723 0.1429 [12 per cell]

---

Material: MnVCdF6
Method: DFT, GGA+U
State: optimized geometry

Output
Magnetic moment = 4.00 μB per formula unit
Calculated density = 4.4 g/cm³
Electronic total energy = -5.184 eV per atom

a b c (Å): 5.4654 5.4654 9.6344
angles (deg): 90.00 90.00 120.00
Space group P-31c (No. 163)
Inequivalent atoms, fractional coordinates:
Mn1 0.3333 0.6667 0.2500 [2 per cell]
V1 0.3333 0.6667 0.7500 [2 per cell]
Cd1 0.0000 0.0000 0.0000 [2 per cell]
F1 0.0044 0.3471 0.1350 [12 per cell]

---

- Which formula does entry 2 have?
  TmMnCdF6